(1)
DFT (PBE) results for a relaxed Hg2As2Pt crystal.

Unit cell a=6.328 b=6.328 c=5.906 alpha=90.00 beta=90.00 gamma=90.00
Space group P4/mbm (No. 127)
Symmetry-distinct sites (fractional):
Hg (0.170, 0.330, 0.000) x4
As (0.139, 0.361, 0.500) x4
Pt (0.000, 0.000, 0.500) x2

Properties
As for the energy above the lowest structure with this stoichiometry: 0.000 eV/atom.

=====

(2)
DFT (PBE) results for a relaxed SmBe2BRu crystal.

Unit cell a=3.463 b=3.573 c=11.045 alpha=90.00 beta=90.00 gamma=90.00
Space group Imm2 (No. 44)
Symmetry-distinct sites (fractional):
Sm (0.000, 0.000, 0.000) x2
Be (0.000, 0.000, 0.644) x2
Be (0.000, 0.500, 0.275) x2
B (0.000, 0.000, 0.373) x2
Ru (0.000, 0.500, 0.765) x2

Properties
The value obtained for the calculated total energy is -58.56 eV/cell.

=====

(3)
DFT (PBE) results for a relaxed HoTi2Tc crystal.

Unit cell a=3.183 b=3.183 c=7.588 alpha=90.00 beta=90.00 gamma=90.00
Space group P4/mmm (No. 123)
Symmetry-distinct sites (fractional):
Ho (0.000, 0.000, 0.000) x1
Ti (0.500, 0.500, 0.313) x2
Tc (0.000, 0.000, 0.500) x1

Properties
The value obtained for the calculated total energy is -31.29 eV/cell.

=====

(4)
DFT (PBE) results for a relaxed Tb3Nd6Dy2 crystal.

Unit cell a=4.780 b=4.780 c=33.978 alpha=90.00 beta=90.00 gamma=90.00
Space group I4/mmm (No. 139)
Symmetry-distinct sites (fractional):
Tb (0.000, 0.000, 0.000) x2
Tb (0.000, 0.000, 0.195) x4
Nd (0.000, 0.000, 0.296) x4
Nd (0.000, 0.500, 0.120) x8
Dy (0.000, 0.000, 0.455) x4

Properties
As for the energy above the lowest structure with this stoichiometry: 0.277 eV/atom.

=====

(5)
DFT (PBE) results for a relaxed NaCu3I crystal.

Unit cell a=5.138 b=5.138 c=5.138 alpha=90.00 beta=90.00 gamma=90.00
Space group Pm-3m (No. 221)
Symmetry-distinct sites (fractional):
Na (0.000, 0.000, 0.000) x1
Cu (0.000, 0.500, 0.500) x3
I (0.500, 0.500, 0.500) x1

Properties
As for the uncorrected formation energy: 0.882 eV per atom. As for the energy above the lowest structure with this stoichiometry: 0.000 eV/atom.

=====

(6)
DFT (PBE) results for a relaxed VCo4Ni crystal.

Unit cell a=6.526 b=6.526 c=6.526 alpha=90.00 beta=90.00 gamma=90.00
Space group F-43m (No. 216)
Symmetry-distinct sites (fractional):
V (0.000, 0.000, 0.000) x4
Co (0.125, 0.125, 0.375) x16
Ni (0.250, 0.250, 0.750) x4

Properties
As for the energy above the lowest structure with this stoichiometry: 0.083 eV/atom.

=====

(7)
DFT (PBE) results for a relaxed Zr3Sc3Al crystal.

Unit cell a=11.0630 b=11.0630 c=3.2378 alpha=90.00 beta=90.00 gamma=120.00
Space group P6_3/m (No. 176)
Symmetry-distinct sites (fractional):
Zr (0.0672, 0.2692, 0.2500) x6
Sc (0.1086, 0.6217, 0.2500) x6
Al (0.3333, 0.6667, 0.7500) x2

Properties
The value obtained for the calculated total energy is -92.36 eV/cell.

=====

(8)
DFT (PBE) results for a relaxed CdMoPd4 crystal.

Unit cell a=2.844 b=2.844 c=11.834 alpha=90.00 beta=90.00 gamma=90.00
Space group P4/mmm (No. 123)
Symmetry-distinct sites (fractional):
Cd (0.000, 0.000, 0.000) x1
Mo (0.500, 0.500, 0.500) x1
Pd (0.000, 0.000, 0.341) x2
Pd (0.500, 0.500, 0.172) x2

Properties
The value obtained for the calculated total energy is -33.46 eV/cell.

=====

(9)
DFT (PBE) results for a relaxed Li4AgPt2 crystal.

Unit cell a=5.801 b=6.077 c=6.166 alpha=90.00 beta=90.00 gamma=90.00
Space group Immm (No. 71)
Symmetry-distinct sites (fractional):
Li (0.250, 0.250, 0.250) x8
Ag (0.000, 0.000, 0.000) x2
Pt (0.000, 0.000, 0.500) x2
Pt (0.000, 0.500, 0.000) x2

Properties
As for the energy above the lowest structure with this stoichiometry: 0.000 eV/atom.

=====

(10)
DFT (PBE) results for a relaxed La2Tb5Tm2 crystal.

Unit cell a=3.653 b=7.375 c=11.893 alpha=94.95 beta=98.83 gamma=104.33
Space group P-1 (No. 2)
Symmetry-distinct sites (fractional):
La (0.238, 0.332, 0.146) x2
Tb (0.014, 0.710, 0.318) x2
Tb (0.495, 0.881, 0.109) x2
Tb (0.500, 0.500, 0.500) x1
Tm (0.250, 0.891, 0.609) x2

Properties
As for the energy above the lowest structure with this stoichiometry: 0.000 eV/atom.

=====

(11)
DFT (PBE) results for a relaxed As2RhSe crystal.

Unit cell a=2.993 b=4.525 c=11.006 alpha=90.00 beta=90.00 gamma=90.00
Space group Immm (No. 71)
Symmetry-distinct sites (fractional):
As (0.000, 0.000, 0.191) x4
Rh (0.000, 0.500, 0.500) x2
Se (0.000, 0.500, 0.000) x2

Properties
As for the uncorrected formation energy: 0.048 eV per atom.

=====

(12)
DFT (PBE) results for a relaxed PmDy3Y7 crystal.

Unit cell a=7.0979 b=7.0979 c=8.6217 alpha=90.00 beta=90.00 gamma=120.00
Space group P3m1 (No. 156)
Symmetry-distinct sites (fractional):
Pm (0.0000, 0.0000, 0.0000) x1
Dy (0.1668, 0.3336, 0.3357) x3
Y (0.0020, 0.5010, 0.0021) x3
Y (0.3310, 0.1655, 0.6679) x3
Y (0.3333, 0.6667, 0.6697) x1

Properties
As for the energy above the lowest structure with this stoichiometry: 0.055 eV/atom.